ErHfZr3: relaxed, PBE-GGA.

Calculated density = 8.2 Mg/m³

```
data_ErHfZr3
_chemical_formula_sum 'Er2 Hf2 Zr6'
_symmetry_space_group_name_H-M 'P m m n'
_symmetry_Int_Tables_number 59
_cell_length_a 4.8540
_cell_length_b 6.8086
_cell_length_c 7.5651
_cell_angle_alpha 90.00
_cell_angle_beta 90.00
_cell_angle_gamma 90.00
loop_
_symmetry_equiv_pos_as_xyz
'x,y,z'
'-x,-y,-z'
'-x+1/2,-y+1/2,z'
'x+1/2,y+1/2,-z'
'x+1/2,-y,-z'
'-x+1/2,y,z'
'-x,y+1/2,-z'
'x,-y+1/2,z'
loop_
_atom_site_label
_atom_site_fract_x
_atom_site_fract_y
_atom_site_fract_z
Er1 0.2500 0.2500 0.0470
Hf1 0.2500 0.2500 0.4449
Zr1 0.2500 0.5432 0.7244
Zr2 0.2500 0.7500 0.2892
```

---

ErHf2Zr4: relaxed, PBE-GGA.

Calculated density = 8.4 Mg/m³

```
data_ErHf2Zr4
_chemical_formula_sum 'Er1 Hf2 Zr4'
_symmetry_space_group_name_H-M 'P 1 2/m 1'
_symmetry_Int_Tables_number 10
_cell_length_a 5.2189
_cell_length_b 3.1798
_cell_length_c 10.6104
_cell_angle_alpha 90.00
_cell_angle_beta 90.26
_cell_angle_gamma 90.00
loop_
_symmetry_equiv_pos_as_xyz
'x,y,z'
'-x,-y,-z'
'-x,y,-z'
'x,-y,z'
loop_
_atom_site_label
_atom_site_fract_x
_atom_site_fract_y
_atom_site_fract_z
Er1 0.0000 0.0000 0.0000
Hf1 0.0000 0.0000 0.5000
Hf2 0.5000 0.5000 0.5000
Zr1 0.0024 0.5000 0.2644
Zr2 0.4981 0.0000 0.7750
```

---

ErHfZr2: relaxed, PBE-GGA.

Calculated density = 9.1 Mg/m³

```
data_ErHfZr2
_chemical_formula_sum 'Er4 Hf4 Zr8'
_symmetry_space_group_name_H-M 'F m -3 m'
_symmetry_Int_Tables_number 225
_symmetry_space_group_name_Hall '-F 4 2 3'
_cell_length_a 7.2771
_cell_length_b 7.2771
_cell_length_c 7.2771
_cell_angle_alpha 90.00
_cell_angle_beta 90.00
_cell_angle_gamma 90.00
loop_
_atom_site_label
_atom_site_fract_x
_atom_site_fract_y
_atom_site_fract_z
Er1 0.0000 0.0000 0.0000
Hf1 0.0000 0.0000 0.5000
Zr1 0.2500 0.2500 0.2500
```

---

ErHg3: relaxed, PBE-GGA.

Calculated density = 11.2 Mg/m³

```
data_ErHg3
_chemical_formula_sum 'Er2 Hg6'
_symmetry_space_group_name_H-M 'I 4/m m m'
_symmetry_Int_Tables_number 139
_symmetry_space_group_name_Hall '-I 4 2'
_cell_length_a 4.3364
_cell_length_b 4.3364
_cell_length_c 12.1455
_cell_angle_alpha 90.00
_cell_angle_beta 90.00
_cell_angle_gamma 90.00
loop_
_atom_site_label
_atom_site_fract_x
_atom_site_fract_y
_atom_site_fract_z
Er1 0.0000 0.0000 0.0000
Hg1 0.0000 0.0000 0.2506
Hg2 0.0000 0.0000 0.5000
```

---

Er3Hg5: relaxed, PBE-GGA.

Calculated density = 12.8 Mg/m³

```
data_Er3Hg5
_chemical_formula_sum 'Er12 Hg20'
_symmetry_space_group_name_H-M 'C m c m'
_symmetry_Int_Tables_number 63
_symmetry_space_group_name_Hall '-C 2c 2'
_cell_length_a 10.0299
_cell_length_b 7.7069
_cell_length_c 10.1142
_cell_angle_alpha 90.00
_cell_angle_beta 90.00
_cell_angle_gamma 90.00
loop_
_atom_site_label
_atom_site_fract_x
_atom_site_fract_y
_atom_site_fract_z
Er1 0.0000 0.0569 0.2500
Er2 0.2151 0.5000 0.0000
Hg1 0.0000 0.2102 0.5251
Hg2 0.0000 0.4619 0.2500
Hg3 0.2207 0.2471 0.7500
```

---

ErHg5: relaxed, PBE-GGA.

Calculated density = 13.2 Mg/m³

```
data_ErHg5
_chemical_formula_sum 'Er2 Hg10'
_symmetry_space_group_name_H-M 'C 1 2/m 1'
_symmetry_Int_Tables_number 12
_cell_length_a 10.7134
_cell_length_b 4.3040
_cell_length_c 6.8238
_cell_angle_alpha 90.00
_cell_angle_beta 111.14
_cell_angle_gamma 90.00
loop_
_symmetry_equiv_pos_as_xyz
'x,y,z'
'-x,-y,-z'
'-x,y,-z'
'x,-y,z'
'x+1/2,y+1/2,z'
'-x+1/2,-y+1/2,-z'
'-x+1/2,y+1/2,-z'
'x+1/2,-y+1/2,z'
loop_
_atom_site_label
_atom_site_fract_x
_atom_site_fract_y
_atom_site_fract_z
Er1 0.0000 0.0000 0.0000
Hg1 0.0000 0.0000 0.5000
Hg2 0.1634 0.5000 0.8300
Hg3 0.1699 0.5000 0.3275
```

---

| no. | energy relative to the elements (eV per atom) |
| --- | --- |
| 1 | 0.177 |
| 2 | 0.265 |
| 3 | 0.209 |
| 4 | -0.044 |
| 5 | -0.426 |
| 6 | -0.187 |